1.
Here is a geometry-optimized PaNiN2Cl structure from Alexandria via LeMat-Bulk. Energies are from PBE.

Lattice parameters (Å, degrees): 4.6147 4.3961 8.6888 90.00 103.74 90.00
With the nearest neighbours (Å) after each atom.
Fractional positions:
Pa  0.1313  0.2500  0.1746  5 N 2.25-2.40
Pa  0.8687  0.7500  0.8254  5 N 2.25-2.40
Ni  0.4253  0.2500  0.9039  2 N 1.83-1.86
Ni  0.5747  0.7500  0.0961  2 N 1.83-1.86
N  0.0171  0.2500  0.8161  1 N 1.45
N  0.1694  0.7500  0.0713  1 N 1.45
N  0.8306  0.2500  0.9287  1 N 1.45
N  0.9829  0.7500  0.1839  1 N 1.45
Cl  0.3037  0.7500  0.6200  2 Pa 2.79-2.99
Cl  0.6963  0.2500  0.3800  2 Pa 2.79-2.99

Results
The raw formation energy comes out at -0.82 eV per atom.


2.
Here is a geometry-optimized Pr4NiNCl2 structure from Alexandria via LeMat-Bulk. Energies are from PBE.

Lattice parameters (Å, degrees): 6.9483 3.7815 7.6439 90.00 107.91 90.00
With the nearest neighbours (Å) after each atom.
Fractional positions:
Pr  0.2044  0.0000  0.1960  2 N 2.55
Pr  0.2541  0.5000  0.7978  1 N 2.68, 2 Ni 2.69
Pr  0.7459  0.5000  0.2022  1 N 2.68, 2 Ni 2.69
Pr  0.7956  0.0000  0.8040  2 N 2.55
Ni  0.5000  0.0000  0.0000  6 Pr 2.69-2.89
N  0.0000  0.5000  0.0000  6 Pr 2.55-2.68
Cl  0.0000  0.0000  0.5000  6 Pr 3.07
Cl  0.5000  0.5000  0.5000  6 Pr 3.20-3.24

Results
The raw formation energy comes out at -1.15 eV per atom.


3.
Here is a geometry-optimized NiPtN2Cl structure from Alexandria via LeMat-Bulk. Energies are from PBE.

Lattice parameters (Å, degrees): 3.9011 3.9011 4.1050 90.00 90.00 90.00
With the nearest neighbours (Å) after each atom.
Fractional positions:
Ni  0.0000  0.0000  0.0000  2 Cl 2.05
Pt  0.5000  0.5000  0.0000  4 Ni 2.76, 8 N 2.83
N  0.0000  0.5000  0.5000  2 Cl 1.95
N  0.5000  0.0000  0.5000  2 Cl 1.95
Cl  0.0000  0.0000  0.5000  4 N 1.95, 2 Ni 2.05

Results
The raw formation energy comes out at 2.33 eV per atom.


4.
Here is a geometry-optimized Rb2NiNCl6 structure from Alexandria via LeMat-Bulk. Energies are from PBE.

Lattice parameters (Å, degrees): 6.9063 6.9063 6.9063 115.69 115.69 97.65
With the nearest neighbours (Å) after each atom.
Fractional positions:
Rb  0.2500  0.7500  0.5000  12 Cl 3.47-3.69
Rb  0.7500  0.2500  0.5000  12 Cl 3.47-3.69
Ni  0.0000  0.0000  0.0000  4 Cl 2.25
N  0.5000  0.5000  0.0000  2 Cl 2.01
Cl  0.2162  0.2162  0.4323  1 Ni 2.25
Cl  0.2162  0.7838  0.0000  1 Ni 2.25
Cl  0.2789  0.2789  0.0000  1 N 2.01
Cl  0.7211  0.7211  0.0000  1 N 2.01
Cl  0.7838  0.2162  0.0000  1 Ni 2.25
Cl  0.7838  0.7838  0.5677  1 Ni 2.25

Results
The raw formation energy comes out at -0.49 eV per atom.


5.
Here is a geometry-optimized NiS2NCl structure from Alexandria via LeMat-Bulk. Energies are from PBE.

Lattice parameters (Å, degrees): 3.7336 3.7336 6.7256 90.00 90.00 90.00
With the nearest neighbours (Å) after each atom.
Fractional positions:
Ni  0.0000  0.0000  0.0000  4 Cl 2.64
S  0.0000  0.5000  0.5000  2 N 1.87
S  0.5000  0.0000  0.5000  2 N 1.87
N  0.5000  0.5000  0.5000  4 S 1.87
Cl  0.5000  0.5000  0.0000  4 Ni 2.64

Results
The calculation puts the relative energy among the computed polymorphs at 129 meV per atom. The raw formation energy comes out at 1.11 eV per atom.


6.
Here is a geometry-optimized NiS2NCl structure from Alexandria via LeMat-Bulk. Energies are from PBE.

Lattice parameters (Å, degrees): 4.8078 4.8078 3.3303 90.00 90.00 90.00
With the nearest neighbours (Å) after each atom.
Fractional positions:
Ni  0.0000  0.0000  0.0000  8 S 2.92
S  0.0000  0.5000  0.5000  2 Cl 2.40
S  0.5000  0.0000  0.5000  2 Cl 2.40
N  0.5000  0.5000  0.0000  2 Cl 1.67
Cl  0.5000  0.5000  0.5000  2 N 1.67

Results
The calculation puts the relative energy among the computed polymorphs at 878 meV per atom. The raw formation energy comes out at 1.86 eV per atom.


7.
Here is a geometry-optimized NiSNCl2 structure from Alexandria via LeMat-Bulk. Energies are from PBE.

Lattice parameters (Å, degrees): 4.9406 4.9406 3.4195 90.00 90.00 90.00
With the nearest neighbours (Å) after each atom.
Fractional positions:
Ni  0.0000  0.0000  0.0000  2 N 1.71
S  0.5000  0.5000  0.5000  8 Cl 3.00
N  0.0000  0.0000  0.5000  2 Ni 1.71
Cl  0.0000  0.5000  0.0000  2 Ni 2.47
Cl  0.5000  0.0000  0.0000  2 Ni 2.47

Results
The calculation puts the relative energy among the computed polymorphs at 0 meV per atom. The raw formation energy comes out at 0.88 eV per atom.


8.
Here is a geometry-optimized NiS2NCl structure from Alexandria via LeMat-Bulk. Energies are from PBE.

Lattice parameters (Å, degrees): 4.3905 4.3905 4.4496 90.00 90.00 90.00
With the nearest neighbours (Å) after each atom.
Fractional positions:
Ni  0.0000  0.0000  0.0000  4 S 2.20, 2 Cl 2.22
S  0.0000  0.5000  0.0000  2 Ni 2.20
S  0.5000  0.0000  0.0000  2 Ni 2.20
N  0.5000  0.5000  0.5000  4 Cl 3.10, 8 S 3.13
Cl  0.0000  0.0000  0.5000  2 Ni 2.22

Results
The calculation puts the relative energy among the computed polymorphs at 582 meV per atom. The raw formation energy comes out at 1.56 eV per atom.


9.
Here is a geometry-optimized NiS2NCl structure from Alexandria via LeMat-Bulk. Energies are from PBE.

Lattice parameters (Å, degrees): 4.8310 4.8310 3.3950 90.00 90.00 90.00
With the nearest neighbours (Å) after each atom.
Fractional positions:
Ni  0.0000  0.0000  0.0000  2 N 1.70
S  0.0000  0.5000  0.0000  2 Ni 2.42
S  0.5000  0.0000  0.0000  2 Ni 2.42
N  0.0000  0.0000  0.5000  2 Ni 1.70
Cl  0.5000  0.5000  0.5000  8 S 2.95

Results
The calculation puts the relative energy among the computed polymorphs at 0 meV per atom. The raw formation energy comes out at 0.98 eV per atom.


10.
Here is a geometry-optimized NiSNCl2 structure from Alexandria via LeMat-Bulk. Energies are from PBE.

Lattice parameters (Å, degrees): 4.4812 4.4812 4.4442 90.00 90.00 90.00
With the nearest neighbours (Å) after each atom.
Fractional positions:
Ni  0.0000  0.0000  0.0000  2 S 2.22, 4 Cl 2.24
S  0.0000  0.0000  0.5000  2 Ni 2.22
N  0.5000  0.5000  0.5000  8 Cl 3.16, 4 S 3.17
Cl  0.0000  0.5000  0.0000  2 Ni 2.24
Cl  0.5000  0.0000  0.0000  2 Ni 2.24

Results
The calculation puts the relative energy among the computed polymorphs at 521 meV per atom. The raw formation energy comes out at 1.40 eV per atom.


11.
Here is a geometry-optimized NiSNCl2 structure from Alexandria via LeMat-Bulk. Energies are from PBE.

Lattice parameters (Å, degrees): 4.2202 4.2202 4.4351 90.00 90.00 90.00
With the nearest neighbours (Å) after each atom.
Fractional positions:
Ni  0.0000  0.0000  0.0000  4 S 2.98, 8 Cl 3.06
S  0.5000  0.5000  0.0000  2 N 2.22
N  0.5000  0.5000  0.5000  4 Cl 2.11, 2 S 2.22
Cl  0.0000  0.5000  0.5000  2 N 2.11
Cl  0.5000  0.0000  0.5000  2 N 2.11

Results
The calculation puts the relative energy among the computed polymorphs at 411 meV per atom. The raw formation energy comes out at 1.29 eV per atom.


12.
Here is a geometry-optimized NiSe2NCl structure from Alexandria via LeMat-Bulk. Energies are from PBE.

Lattice parameters (Å, degrees): 5.1217 5.1217 3.3705 90.00 90.00 90.00
With the nearest neighbours (Å) after each atom.
Fractional positions:
Ni  0.0000  0.0000  0.0000  2 N 1.69
Se  0.0000  0.5000  0.0000  2 Ni 2.56
Se  0.5000  0.0000  0.0000  2 Ni 2.56
N  0.0000  0.0000  0.5000  2 Ni 1.69
Cl  0.5000  0.5000  0.5000  8 Se 3.07, 2 Cl 3.37

Results
The calculation puts the relative energy among the computed polymorphs at 0 meV per atom. The raw formation energy comes out at 0.72 eV per atom.


13.
Here is a geometry-optimized NiSe2NCl structure from Alexandria via LeMat-Bulk. Energies are from PBE.

Lattice parameters (Å, degrees): 5.1320 5.1320 3.3058 90.00 90.00 90.00
With the nearest neighbours (Å) after each atom.
Fractional positions:
Ni  0.0000  0.0000  0.0000  8 Se 3.05, 2 Ni 3.31
Se  0.0000  0.5000  0.5000  2 Cl 2.57
Se  0.5000  0.0000  0.5000  2 Cl 2.57
N  0.5000  0.5000  0.0000  2 Cl 1.65
Cl  0.5000  0.5000  0.5000  2 N 1.65

Results
The calculation puts the relative energy among the computed polymorphs at 977 meV per atom. The raw formation energy comes out at 1.70 eV per atom.


14.
Here is a geometry-optimized SiNiN2Cl structure from Alexandria via LeMat-Bulk. Energies are from PBE.

Lattice parameters (Å, degrees): 3.3903 3.3903 6.3906 90.00 90.00 90.00
With the nearest neighbours (Å) after each atom.
Fractional positions:
Si  0.0000  0.0000  0.0000  4 N 1.70
Ni  0.5000  0.5000  0.5000  4 Cl 2.40
N  0.0000  0.5000  0.0000  2 Si 1.70
N  0.5000  0.0000  0.0000  2 Si 1.70
Cl  0.0000  0.0000  0.5000  4 Ni 2.40

Results
The raw formation energy comes out at 0.50 eV per atom.


15.
Here is a geometry-optimized NiSnN2Cl structure from Alexandria via LeMat-Bulk. Energies are from PBE.

Lattice parameters (Å, degrees): 3.8313 3.8313 5.5734 90.00 90.00 90.00
With the nearest neighbours (Å) after each atom.
Fractional positions:
Ni  0.0000  0.0000  0.0000  4 N 1.92
Sn  0.0000  0.0000  0.5000  4 Cl 2.71, 2 Ni 2.79
N  0.0000  0.5000  0.0000  2 Ni 1.92
N  0.5000  0.0000  0.0000  2 Ni 1.92
Cl  0.5000  0.5000  0.5000  4 Sn 2.71

Results
The raw formation energy comes out at 0.87 eV per atom.


16.
Here is a geometry-optimized NiTeN2Cl structure from Alexandria via LeMat-Bulk. Energies are from PBE.

Lattice parameters (Å, degrees): 3.6319 3.6319 7.6891 90.00 90.00 90.00
With the nearest neighbours (Å) after each atom.
Fractional positions:
Ni  0.0000  0.0000  0.0000  4 Te 2.57
Te  0.5000  0.5000  0.0000  4 Ni 2.57
N  0.0000  0.5000  0.5000  2 Cl 1.82
N  0.5000  0.0000  0.5000  2 Cl 1.82
Cl  0.5000  0.5000  0.5000  4 N 1.82

Results
The calculation puts the relative energy among the computed polymorphs at 936 meV per atom. The raw formation energy comes out at 2.16 eV per atom.


17.
Here is a geometry-optimized NiTeN2Cl structure from Alexandria via LeMat-Bulk. Energies are from PBE.

Lattice parameters (Å, degrees): 3.8423 3.8423 5.5665 90.00 90.00 90.00
With the nearest neighbours (Å) after each atom.
Fractional positions:
Ni  0.0000  0.0000  0.0000  4 N 1.92
Te  0.0000  0.0000  0.5000  4 Cl 2.72, 2 Ni 2.78
N  0.0000  0.5000  0.0000  2 Ni 1.92
N  0.5000  0.0000  0.0000  2 Ni 1.92
Cl  0.5000  0.5000  0.5000  4 Te 2.72

Results
The calculation puts the relative energy among the computed polymorphs at 0 meV per atom. The raw formation energy comes out at 1.22 eV per atom.


18.
Here is a geometry-optimized NpNCl structure from Alexandria via LeMat-Bulk. Energies are from PBE.

Lattice parameters (Å, degrees): 5.9589 5.9589 5.9589 90.00 90.00 90.00
With the nearest neighbours (Å) after each atom.
Fractional positions:
Np  0.0000  0.0000  0.0000  4 Cl 2.58, 4 N 2.58
Np  0.0000  0.5000  0.5000  4 Cl 2.58, 4 N 2.58
Np  0.5000  0.0000  0.5000  4 Cl 2.58, 4 N 2.58
Np  0.5000  0.5000  0.0000  4 Cl 2.58, 4 N 2.58
N  0.2500  0.2500  0.2500  4 Np 2.58
N  0.2500  0.7500  0.7500  4 Np 2.58
N  0.7500  0.2500  0.7500  4 Np 2.58
N  0.7500  0.7500  0.2500  4 Np 2.58
Cl  0.2500  0.2500  0.7500  4 Np 2.58
Cl  0.2500  0.7500  0.2500  4 Np 2.58
Cl  0.7500  0.2500  0.2500  4 Np 2.58
Cl  0.7500  0.7500  0.7500  4 Np 2.58

Results
The raw formation energy comes out at -0.62 eV per atom.


19.
Here is a geometry-optimized NpNCl structure from Alexandria via LeMat-Bulk. Energies are from PBE.

Lattice parameters (Å, degrees): 3.7622 3.7689 10.6657 80.09 80.01 60.22
With the nearest neighbours (Å) after each atom.
Fractional positions:
Np  0.0000  0.0000  0.0000  3 N 2.18-2.19
Np  0.4209  0.4252  0.7380  4 N 2.27-2.54
N  0.3399  0.3421  0.9811  3 Np 2.18-2.19
N  0.7338  0.7391  0.8003  3 Np 2.27
Cl  0.1449  0.1478  0.5645  3 Np 2.83-2.84
Cl  0.9208  0.9209  0.2371  1 Np 2.48

Results
The raw formation energy comes out at -1.20 eV per atom.


20.
Here is a geometry-optimized NpNCl3 structure from Alexandria via LeMat-Bulk. Energies are from PBE.

Lattice parameters (Å, degrees): 6.8266 6.8510 7.4964 85.79 89.39 74.55
With the nearest neighbours (Å) after each atom.
Fractional positions:
Np  0.0000  0.0000  0.0000  6 Cl 2.72-2.73
Np  0.5000  0.5000  0.0000  6 Cl 2.72-2.73
N  0.2349  0.2684  0.5080  9 Cl 3.67-4.08, 1 N 4.10
N  0.7396  0.7631  0.5080  9 Cl 3.67-4.07, 1 N 4.10
Cl  0.2425  0.2572  0.0020  2 Np 2.72
Cl  0.2486  0.7709  0.7615  2 Np 2.73
Cl  0.2546  0.7323  0.2384  2 Np 2.73
Cl  0.7453  0.2676  0.7615  2 Np 2.73
Cl  0.7513  0.2290  0.2384  2 Np 2.73
Cl  0.7579  0.7419  0.0020  2 Np 2.72

Results
The raw formation energy comes out at -0.33 eV per atom.